A relaxed Be2Cd2Si crystal. Source: Alexandria via LeMat-Bulk, functional PBE.

```
Be2Cd2Si
1.0
7.580 0.000 0.000
0.000 7.580 0.000
0.000 0.000 2.779
Be Si Cd
4 2 4
Direct
0.395 0.895 0.000
0.895 0.605 0.000
0.605 0.105 0.000
0.105 0.395 0.000
0.000 0.000 0.000
0.500 0.500 0.000
0.189 0.689 0.500
0.689 0.811 0.500
0.811 0.311 0.500
0.311 0.189 0.500
```

## Properties
ΔE_f (raw) = 0.58 eV per atom
DOS at the Fermi energy = 0.32 states/eV per atom
uncorrected energy = -2.365 eV/atom
SG = P4/mbm, No. 127